## Tl4Au3 (GGA-PBEsol)

Data for an optimized crystal structure of Tl4Au3.

Results
Energy of formation in eV per atom: 0.014
Uncorrected energy in eV/cell: -22.192

abc: 13.9005 13.9005 13.9005
angles: 165.77 165.77 20.18
Fractional positions:
Tl: 0.0667 0.0667 0.0000
Tl: 0.3411 0.3411 0.0000
Tl: 0.6589 0.6589 0.0000
Tl: 0.9333 0.9333 0.0000
Au: 0.2238 0.2238 0.0000
Au: 0.5000 0.5000 0.0000
Au: 0.7762 0.7762 0.0000

=====

## Mo2AsW (GGA-PBEsol)

Data for an optimized crystal structure of Mo2AsW.

Results
Energy of formation in eV per atom: 0.222
Uncorrected energy in eV/cell: -41.563

abc: 5.1658 5.1658 5.1658
angles: 138.24 138.24 60.54
Fractional positions:
Mo: 0.0000 0.0000 0.0000
Mo: 0.7500 0.2500 0.5000
As: 0.2500 0.7500 0.5000
W: 0.5000 0.5000 0.0000

=====

## LaNi5 (GGA-PBEsol)

Data for an optimized crystal structure of LaNi5.

Results
Energy of formation in eV per atom: -0.268
Uncorrected energy in eV/cell: -37.744

abc: 4.9095 4.9095 3.9174
angles: 90.00 90.00 120.00
Fractional positions:
La: 0.0000 0.0000 0.0000
Ni: 0.0000 0.5000 0.5000
Ni: 0.3333 0.6667 0.0000
Ni: 0.5000 0.0000 0.5000
Ni: 0.5000 0.5000 0.5000
Ni: 0.6667 0.3333 0.0000

=====

## LiY2Cd (GGA-PBEsol)

Data for an optimized crystal structure of LiY2Cd.

Results
Energy of formation in eV per atom: -0.126
Uncorrected energy in eV/cell: -17.312

abc: 3.6721 3.6721 7.3806
angles: 90.00 90.00 90.00
Fractional positions:
Li: 0.0000 0.0000 0.0000
Y: 0.5000 0.5000 0.2502
Y: 0.5000 0.5000 0.7498
Cd: 0.0000 0.0000 0.5000

=====

## Co3BiS (GGA-PBEsol)

Data for an optimized crystal structure of Co3BiS.

Results
Formation energy without anion corrections in meV/atom: 180
Uncorrected energy in eV/cell: -30.979

abc: 4.1789 4.1789 4.1789
angles: 90.00 90.00 90.00
Fractional positions:
Co: 0.0000 0.0000 0.5000
Co: 0.0000 0.5000 0.0000
Co: 0.5000 0.0000 0.0000
Bi: 0.5000 0.5000 0.5000
S: 0.0000 0.0000 0.0000

=====

## MnHg2Ir (GGA-PBEsol)

Data for an optimized crystal structure of MnHg2Ir.

Results
Energy of formation in eV per atom: 0.429
Uncorrected energy in eV/cell: -19.001

abc: 4.5720 4.5720 4.5720
angles: 60.00 60.00 60.00
Fractional positions:
Mn: 0.0000 0.0000 0.0000
Hg: 0.5000 0.5000 0.5000
Hg: 0.7500 0.7500 0.7500
Ir: 0.2500 0.2500 0.2500

=====

## LaNb7O19 (GGA-PBEsol)

Data for an optimized crystal structure of LaNb7O19.

Results
Formation energy without anion corrections in meV/atom: -2660
Uncorrected energy in eV/cell: -505.324

abc: 6.2671 6.2671 20.2282
angles: 90.00 90.00 120.00
Fractional positions:
La: 0.3333 0.6667 0.1536
La: 0.6667 0.3333 0.8464
Nb: 0.0000 0.3628 0.5000
Nb: 0.0000 0.6413 0.0000
Nb: 0.0022 0.3638 0.3120
Nb: 0.3333 0.6667 0.8414
Nb: 0.3587 0.3587 0.0000
Nb: 0.3617 0.9978 0.3120
Nb: 0.3628 0.0000 0.5000
Nb: 0.3638 0.0022 0.6880
Nb: 0.6362 0.6383 0.3120
Nb: 0.6372 0.6372 0.5000
Nb: 0.6383 0.6362 0.6880
Nb: 0.6413 0.0000 0.0000
Nb: 0.6667 0.3333 0.1586
Nb: 0.9978 0.3617 0.6880
O: 0.0000 0.2458 0.0000
O: 0.9996 0.7506 0.3069
O: 0.0004 0.7510 0.6931
O: 0.0000 0.7537 0.5000
O: 0.0415 0.4193 0.4034
O: 0.0503 0.4286 0.7908
O: 0.0555 0.6167 0.9054
O: 0.2458 0.0000 0.0000
O: 0.2463 0.2463 0.5000
O: 0.2494 0.2490 0.3069
O: 0.2490 0.2494 0.6931
O: 0.3333 0.6667 0.0237
O: 0.3333 0.6667 0.2831
O: 0.3333 0.6667 0.5143
O: 0.3333 0.6667 0.6811
O: 0.3784 0.9497 0.7908
O: 0.3778 0.9585 0.4034
O: 0.3833 0.4388 0.9054
O: 0.4193 0.0415 0.5966
O: 0.4286 0.0503 0.2092
O: 0.4388 0.3833 0.0946
O: 0.5612 0.9445 0.9054
O: 0.5714 0.6216 0.7908
O: 0.5807 0.6222 0.4034
O: 0.6167 0.0555 0.0946
O: 0.6216 0.5714 0.2092
O: 0.6222 0.5807 0.5966
O: 0.6667 0.3333 0.3189
O: 0.6667 0.3333 0.4857
O: 0.6667 0.3333 0.7169
O: 0.6667 0.3333 0.9763
O: 0.7510 0.0004 0.3069
O: 0.7506 0.9996 0.6931
O: 0.7537 0.0000 0.5000
O: 0.7542 0.7542 0.0000
O: 0.9445 0.5612 0.0946
O: 0.9497 0.3784 0.2092
O: 0.9585 0.3778 0.5966

=====

## Ca7VN6 (GGA-PBEsol)

Data for an optimized crystal structure of Ca7VN6.

Results
Formation energy without anion corrections in meV/atom: -1066
Uncorrected energy in eV/cell: -362.576

abc: 10.9341 6.2353 12.8090
angles: 90.00 90.00 90.00
Fractional positions:
Ca: 0.0000 0.0538 0.2500
Ca: 0.0000 0.9462 0.7500
Ca: 0.0357 0.2304 0.5221
Ca: 0.0357 0.7696 0.0221
Ca: 0.2100 0.3909 0.1196
Ca: 0.2100 0.6091 0.6196
Ca: 0.2332 0.3411 0.8723
Ca: 0.2332 0.6589 0.3723
Ca: 0.2668 0.1589 0.3723
Ca: 0.2668 0.8411 0.8723
Ca: 0.2900 0.1091 0.6196
Ca: 0.2900 0.8909 0.1196
Ca: 0.4643 0.2696 0.0221
Ca: 0.4643 0.7304 0.5221
Ca: 0.5000 0.4462 0.7500
Ca: 0.5000 0.5538 0.2500
Ca: 0.5357 0.2696 0.4779
Ca: 0.5357 0.7304 0.9779
Ca: 0.7100 0.1091 0.8804
Ca: 0.7100 0.8909 0.3804
Ca: 0.7332 0.1589 0.1277
Ca: 0.7332 0.8411 0.6277
Ca: 0.7668 0.3411 0.6277
Ca: 0.7668 0.6589 0.1277
Ca: 0.7900 0.3909 0.3804
Ca: 0.7900 0.6091 0.8804
Ca: 0.9643 0.2304 0.9779
Ca: 0.9643 0.7696 0.4779
V: 0.0000 0.4438 0.7500
V: 0.0000 0.5562 0.2500
V: 0.5000 0.0562 0.2500
V: 0.5000 0.9438 0.7500
N: 0.0589 0.3882 0.3547
N: 0.0589 0.6118 0.8547
N: 0.1242 0.2712 0.7035
N: 0.1242 0.7288 0.2035
N: 0.1642 0.0870 0.9960
N: 0.1642 0.9130 0.4960
N: 0.3358 0.4130 0.4960
N: 0.3358 0.5870 0.9960
N: 0.3758 0.2288 0.2035
N: 0.3758 0.7712 0.7035
N: 0.4411 0.1118 0.8547
N: 0.4411 0.8882 0.3547
N: 0.5589 0.1118 0.6453
N: 0.5589 0.8882 0.1453
N: 0.6242 0.2288 0.2965
N: 0.6242 0.7712 0.7965
N: 0.6642 0.4130 0.0040
N: 0.6642 0.5870 0.5040
N: 0.8358 0.0870 0.5040
N: 0.8358 0.9130 0.0040
N: 0.8758 0.2712 0.7965
N: 0.8758 0.7288 0.2965
N: 0.9411 0.3882 0.1453
N: 0.9411 0.6118 0.6453

=====

## GeSb2H (GGA-PBEsol)

Data for an optimized crystal structure of GeSb2H.

Results
Uncorrected energy in eV/cell: -15.436

abc: 4.7548 4.7548 4.7548
angles: 60.00 60.00 60.00
Fractional positions:
Ge: 0.0000 0.0000 0.0000
Sb: 0.2500 0.2500 0.2500
Sb: 0.7500 0.7500 0.7500
H: 0.5000 0.5000 0.5000

=====

## CaZnTe (GGA-PBEsol)

Data for an optimized crystal structure of CaZnTe.

Results
Formation energy without anion corrections in meV/atom: -663
Uncorrected energy in eV/cell: -9.231

abc: 4.2743 4.2743 5.1014
angles: 90.00 90.00 120.00
Fractional positions:
Ca: 0.0000 0.0000 0.0000
Zn: 0.6667 0.3333 0.3439
Te: 0.3333 0.6667 0.6116

=====

## TmGaO3 (GGA-PBEsol)

Data for an optimized crystal structure of TmGaO3.

Results
Formation energy without anion corrections in meV/atom: -2844
Uncorrected energy in eV/cell: -229.241

abc: 5.9547 5.9547 11.5487
angles: 90.00 90.00 120.00
Fractional positions:
Tm: 0.0000 0.0000 0.0000
Tm: 0.0000 0.0000 0.5000
Tm: 0.3333 0.6667 0.0424
Tm: 0.3333 0.6667 0.5424
Tm: 0.6667 0.3333 0.0424
Tm: 0.6667 0.3333 0.5424
Ga: 0.0000 0.3340 0.2749
Ga: 0.0000 0.6660 0.7749
Ga: 0.3340 0.0000 0.2749
Ga: 0.3340 0.3340 0.7749
Ga: 0.6660 0.0000 0.7749
Ga: 0.6660 0.6660 0.2749
O: 0.0000 0.0000 0.2991
O: 0.0000 0.0000 0.7991
O: 0.0000 0.3050 0.1108
O: 0.0000 0.3614 0.4377
O: 0.0000 0.6386 0.9377
O: 0.0000 0.6950 0.6108
O: 0.3050 0.0000 0.1108
O: 0.3050 0.3050 0.6108
O: 0.3333 0.6667 0.2538
O: 0.3333 0.6667 0.7538
O: 0.3614 0.0000 0.4377
O: 0.3614 0.3614 0.9377
O: 0.6386 0.0000 0.9377
O: 0.6386 0.6386 0.4377
O: 0.6667 0.3333 0.2538
O: 0.6667 0.3333 0.7538
O: 0.6950 0.0000 0.6108
O: 0.6950 0.6950 0.1108

=====

## Li2NiRu (GGA-PBEsol)

Data for an optimized crystal structure of Li2NiRu.

Results
Energy of formation in eV per atom: 0.113
Uncorrected energy in eV/cell: -19.810

abc: 2.4579 4.3717 4.4705
angles: 90.00 93.06 90.00
Fractional positions:
Li: 0.2071 0.0000 0.2492
Li: 0.7929 0.0000 0.7508
Ni: 0.0000 0.5000 0.5000
Ru: 0.5000 0.5000 0.0000

=====

## RuPbSe3 (GGA-PBEsol)

Data for an optimized crystal structure of RuPbSe3.

Results
Formation energy without anion corrections in meV/atom: 1466
Uncorrected energy in eV/cell: -18.394

abc: 5.2793 5.2793 5.2793
angles: 90.00 90.00 90.00
Fractional positions:
Ru: 0.0000 0.0000 0.0000
Pb: 0.5000 0.5000 0.5000
Se: 0.0000 0.5000 0.5000
Se: 0.5000 0.0000 0.5000
Se: 0.5000 0.5000 0.0000

=====

## Zr2CuAs (GGA-PBEsol)

Data for an optimized crystal structure of Zr2CuAs.

Results
Energy of formation in eV per atom: -0.428
Uncorrected energy in eV/cell: -29.332

abc: 3.1697 3.1697 7.1884
angles: 90.00 90.00 100.54
Fractional positions:
Zr: 0.0000 0.0000 0.2493
Zr: 0.0000 0.0000 0.7507
Cu: 0.5000 0.5000 0.5000
As: 0.5000 0.5000 0.0000

=====

## LiYPt2 (GGA-PBEsol)

Data for an optimized crystal structure of LiYPt2.

Results
Energy of formation in eV per atom: -0.601
Uncorrected energy in eV/cell: -25.119

abc: 3.5494 3.5494 5.6110
angles: 90.00 90.00 90.00
Fractional positions:
Li: 0.0000 0.0000 0.0000
Y: 0.5000 0.5000 0.6719
Pt: 0.0000 0.0000 0.4486
Pt: 0.5000 0.5000 0.1605

=====

## CdIr2Os (GGA-PBEsol)

Data for an optimized crystal structure of CdIr2Os.

Results
Energy of formation in eV per atom: 0.332
Uncorrected energy in eV/cell: -31.731

abc: 4.7542 4.7542 4.8894
angles: 98.54 98.54 33.47
Fractional positions:
Cd: 0.0000 0.0000 0.0000
Ir: 0.2422 0.2422 0.7323
Ir: 0.7578 0.7578 0.2677
Os: 0.5000 0.5000 0.5000

=====

## LaNbZnC2 (GGA-PBEsol)

Data for an optimized crystal structure of LaNbZnC2.

Results
Energy of formation in eV per atom: 0.653
Uncorrected energy in eV/cell: -33.773

abc: 4.2562 4.2562 4.7457
angles: 90.00 90.00 90.00
Fractional positions:
La: 0.0000 0.0000 0.0000
Nb: 0.5000 0.5000 0.5000
Zn: 0.5000 0.5000 0.0000
C: 0.0000 0.5000 0.5000
C: 0.5000 0.0000 0.5000

=====

## TlI3 (GGA-PBEsol)

Data for an optimized crystal structure of TlI3.

Results
Formation energy without anion corrections in meV/atom: -297
Uncorrected energy in eV/cell: -36.475

abc: 10.2700 6.2448 9.4324
angles: 90.00 90.00 90.00
Fractional positions:
Tl: 0.1701 0.2500 0.0267
Tl: 0.3299 0.7500 0.5267
Tl: 0.6701 0.2500 0.4733
Tl: 0.8299 0.7500 0.9733
I: 0.0885 0.7500 0.2619
I: 0.1252 0.2500 0.5450
I: 0.1480 0.7500 0.8444
I: 0.3520 0.2500 0.3444
I: 0.3748 0.7500 0.0450
I: 0.4115 0.2500 0.7619
I: 0.5885 0.7500 0.2381
I: 0.6252 0.2500 0.9550
I: 0.6480 0.7500 0.6556
I: 0.8520 0.2500 0.1556
I: 0.8748 0.7500 0.4550
I: 0.9115 0.2500 0.7381

=====

## BaCd4In (GGA-PBEsol)

Data for an optimized crystal structure of BaCd4In.

Results
Energy of formation in eV per atom: -0.170
Uncorrected energy in eV/cell: -10.940

abc: 6.0486 6.0486 6.0486
angles: 60.00 60.00 60.00
Fractional positions:
Ba: 0.0000 0.0000 0.0000
Cd: 0.1260 0.6247 0.6247
Cd: 0.6247 0.1260 0.6247
Cd: 0.6247 0.6247 0.1260
Cd: 0.6247 0.6247 0.6247
In: 0.2500 0.2500 0.2500

=====

## TiSn9O20 (GGA-PBEsol)

Data for an optimized crystal structure of TiSn9O20.

Results
Formation energy without anion corrections in meV/atom: -1816
Uncorrected energy in eV/cell: -206.128

abc: 7.9600 7.9600 7.4444
angles: 92.18 92.18 49.95
Fractional positions:
Ti: 0.0000 0.0000 0.0000
Sn: 0.0000 0.0000 0.5000
Sn: 0.1974 0.1974 0.1990
Sn: 0.1994 0.1994 0.7020
Sn: 0.3990 0.3990 0.4016
Sn: 0.4014 0.4014 0.9026
Sn: 0.5986 0.5986 0.0974
Sn: 0.6010 0.6010 0.5984
Sn: 0.8006 0.8006 0.2980
Sn: 0.8026 0.8026 0.8010
O: 0.0560 0.0560 0.2458
O: 0.0932 0.7047 0.4053
O: 0.1062 0.4943 0.8029
O: 0.1322 0.1322 0.9429
O: 0.2598 0.2598 0.4554
O: 0.2953 0.9068 0.5947
O: 0.2983 0.7017 0.0000
O: 0.3378 0.3378 0.1455
O: 0.4620 0.4620 0.6566
O: 0.4943 0.1062 0.8029
O: 0.5057 0.8938 0.1971
O: 0.5380 0.5380 0.3434
O: 0.6622 0.6622 0.8545
O: 0.7017 0.2983 0.0000
O: 0.7047 0.0932 0.4053
O: 0.7402 0.7402 0.5446
O: 0.8678 0.8678 0.0571
O: 0.8938 0.5057 0.1971
O: 0.9068 0.2953 0.5947
O: 0.9440 0.9440 0.7542